# Ac4Ag2Pt (PBE, relaxed)
data_Ac4Ag2Pt
_symmetry_space_group_name_H-M 'P 1'
_symmetry_Int_Tables_number 1
_symmetry_space_group_name_Hall 'P 1'
_cell_length_a 8.3132
_cell_length_b 8.3132
_cell_length_c 6.7790
_cell_angle_alpha 101.52
_cell_angle_beta 101.52
_cell_angle_gamma 32.51
loop_
_atom_site_label
_atom_site_fract_x
_atom_site_fract_y
_atom_site_fract_z
_atom_site_occupancy
Ac1 0.0796 0.0796 0.2785 1
Ac2 0.3427 0.3427 0.1772 1
Ac3 0.6573 0.6573 0.8228 1
Ac4 0.9204 0.9204 0.7215 1
Ag1 0.2666 0.2666 0.6377 1
Ag2 0.7334 0.7334 0.3623 1
Pt1 0.5000 0.5000 0.0000 1
# - N(E_F) (states/eV/f.u.) = 7.1
# - ΔE_f (meV/atom) = -458.5
# - relative energy among the computed polymorphs (eV/atom) = 0.000